Crystalline NaY2Tl2 at its relaxed geometry. Source: Alexandria, functional PBEsol.

Cell: 4.136 8.168 8.168 Å, 90.00 90.00 90.00°
Fractional positions:
Y: 0.500 0.165 0.665
Y: 0.500 0.665 0.835
Y: 0.500 0.835 0.335
Y: 0.500 0.335 0.165
Na: 0.000 0.000 0.000
Na: 0.000 0.500 0.500
Tl: 0.000 0.365 0.865
Tl: 0.000 0.865 0.635
Tl: 0.000 0.635 0.135
Tl: 0.000 0.135 0.365

## Properties
The electronic total energy is -4.326 eV/atom.